(1)
The following is a DFT calculation (PBE) of a relaxed Tm2ZrFe crystal.

a = 3.2396 Å, b = 3.2396 Å, c = 30.8442 Å
α = 90.00°, β = 90.00°, γ = 120.00°
Last column: nearest neighbours and their distance in Å.
Space group R-3m (No. 166, hexagonal axes)
Unique sites:
Tm 0.0000 0.0000 0.1030 x6  3 Fe 2.71
Zr 0.0000 0.0000 0.0000 x3  2 Tm 3.18, 6 Zr 3.24
Fe 0.0000 0.0000 0.5000 x3  6 Tm 2.71

energy of formation from the pure elements	1.6	eV/f.u.


(2)
The following is a DFT calculation (PBE) of a relaxed Th2Al3Ni2 crystal.

a = 10.5033 Å, b = 4.1181 Å, c = 7.1695 Å
α = 90.00°, β = 119.64°, γ = 90.00°
Last column: nearest neighbours and their distance in Å.
Space group C2/m (No. 12)
Unique sites:
Th 0.1328 0.0000 0.2772 x4  4 Ni 2.95-3.09, 6 Al 3.28-3.31
Al 0.0000 0.5000 0.5000 x2  4 Ni 2.53, 2 Al 2.70
Al 0.1489 0.5000 0.9330 x4  3 Ni 2.45-2.62, 1 Al 2.70
Ni 0.1412 0.0000 0.7023 x4  5 Al 2.45-2.62

energy of formation from the pure elements	-3.8	eV/f.u.


(3)
The following is a DFT calculation (PBE) of a relaxed Li5RhPb crystal.

a = 3.7629 Å, b = 3.7629 Å, c = 8.4100 Å
α = 90.00°, β = 90.00°, γ = 90.00°
Last column: nearest neighbours and their distance in Å.
Space group P4/mmm (No. 123)
Unique sites:
Li 0.0000 0.0000 0.0000 x1  4 Rh 2.66, 8 Li 2.68
Li 0.0000 0.5000 0.2276 x4  6 Li 2.66-2.68, 2 Rh 2.68, 2 Pb 2.96
Rh 0.5000 0.5000 0.0000 x1  12 Li 2.66-2.68
Pb 0.0000 0.0000 0.5000 x1  8 Li 2.96

energy of formation from the pure elements	-0.7	eV/f.u.


(4)
The following is a DFT calculation (PBE) of a relaxed TcSn3Pd crystal.

a = 5.1457 Å, b = 5.1457 Å, c = 5.1457 Å
α = 90.00°, β = 90.00°, γ = 90.00°
Last column: nearest neighbours and their distance in Å.
Space group Pm-3m (No. 221)
Unique sites:
Tc 0.0000 0.0000 0.0000 x1  12 Sn 3.64
Sn 0.0000 0.5000 0.5000 x3  2 Pd 2.57
Pd 0.5000 0.5000 0.5000 x1  6 Sn 2.57

energy of formation from the pure elements	4.1	eV/f.u.


(5)
The following is a DFT calculation (PBE) of a relaxed Sr4As crystal.

a = 6.1873 Å, b = 6.1873 Å, c = 6.1873 Å
α = 90.00°, β = 90.00°, γ = 90.00°
Last column: nearest neighbours and their distance in Å.
Space group Pm-3m (No. 221)
Unique sites:
Sr 0.0000 0.0000 0.0000 x1  12 Sr 4.38
Sr 0.0000 0.5000 0.5000 x3  2 As 3.09
As 0.5000 0.5000 0.5000 x1  6 Sr 3.09

energy of formation from the pure elements	-2.4	eV/f.u.


(6)
The following is a DFT calculation (PBE) of a relaxed ZrTc4Os2 crystal.

a = 4.7201 Å, b = 4.7201 Å, c = 12.5909 Å
α = 90.00°, β = 90.00°, γ = 90.00°
Last column: nearest neighbours and their distance in Å.
Space group I4/mmm (No. 139)
Unique sites:
Zr 0.0000 0.0000 0.0000 x2  4 Tc 2.36
Tc 0.0000 0.0000 0.2104 x4  1 Os 2.30
Tc 0.0000 0.5000 0.0000 x4  2 Zr 2.36
Os 0.0000 0.0000 0.3929 x4  1 Tc 2.30

energy of formation from the pure elements	12.3	eV/f.u.


(7)
The following is a DFT calculation (PBE) of a relaxed Li2PtCl8 crystal.

a = 11.1399 Å, b = 11.0317 Å, c = 5.6745 Å
α = 90.00°, β = 111.75°, γ = 90.00°
Last column: nearest neighbours and their distance in Å.
Space group C2/m (No. 12)
Unique sites:
Li 0.1825 0.0000 0.1354 x4  4 Cl 2.39-2.40
Pt 0.0000 0.5000 0.5000 x2  6 Cl 2.30-2.36
Cl 0.0009 0.0000 0.7432 x4  2 Li 2.39
Cl 0.1033 0.5000 0.2155 x4  1 Pt 2.30
Cl 0.1493 0.3503 0.7273 x8  1 Pt 2.36, 1 Li 2.40

formation energy (no corrections)	-783.0	kJ/mol of formula units


(8)
The following is a DFT calculation (PBE) of a relaxed MnIrSe2 crystal.

a = 6.3752 Å, b = 6.3752 Å, c = 6.3752 Å
α = 90.00°, β = 90.00°, γ = 90.00°
Last column: nearest neighbours and their distance in Å.
Space group Fm-3m (No. 225)
Unique sites:
Mn 0.0000 0.0000 0.0000 x4  8 Se 2.76
Ir 0.0000 0.0000 0.5000 x4  8 Se 2.76
Se 0.2500 0.2500 0.2500 x8  4 Ir 2.76, 4 Mn 2.76

formation energy (no corrections)	81.7	kJ/mol of formula units


Let's list Fermi-level density of states in order: 14.35, 11.22, 2.27, 3.61, 3.86, 19.32, 11.54, 14.85 states/eV per cell.
Let's list total DFT energy (no corrections) in order: -6.0861, -5.9223, -3.0419, -4.6968, -2.7569, -8.5951, -2.9779, -6.0382 eV per atom.